1.
The following is a PBE calculation of crystalline Sc2Sn2Hg at its relaxed geometry, from Alexandria.

The energy of formation from the pure elements is -0.38 eV per atom. The total magnetization is 0.000 μB per atom. Its symmetry is P4/mbm.

Geometry as POSCAR:
```
Sc2Sn2Hg
1.0
7.534 0.000 0.000
0.000 7.534 0.000
0.000 0.000 4.177
Sc Sn Hg
4 4 2
direct
0.672 0.828 0.500
0.328 0.172 0.500
0.828 0.328 0.500
0.172 0.672 0.500
0.633 0.133 0.000
0.133 0.367 0.000
0.867 0.633 0.000
0.367 0.867 0.000
0.000 0.000 0.000
0.500 0.500 0.000
```


2.
The following is a PBE calculation of crystalline Sc2SnHg2 at its relaxed geometry, from Alexandria.

The energy of formation from the pure elements is -0.11 eV per atom. The total magnetization is 0.105 μB per atom. Its symmetry is I4/mmm.

Geometry as POSCAR:
```
Sc2SnHg2
1.0
-0.948 2.610 -2.985
-0.626 -3.130 -2.538
-8.022 -0.503 -0.676
Sc Hg Sn
2 2 1
direct
0.405 0.405 0.189
0.595 0.595 0.811
0.250 0.750 0.500
0.750 0.250 0.500
0.000 0.000 0.000
```


3.
The following is a PBE calculation of crystalline Sc2SnHg2 at its relaxed geometry, from Alexandria.

The energy of formation from the pure elements is -0.32 eV per atom. The total magnetization is 0.000 μB per atom. Its symmetry is P4/mbm.

Geometry as POSCAR:
```
Sc2SnHg2
1.0
7.976 0.000 0.000
0.000 7.976 0.000
0.000 0.000 3.604
Hg Sn Sc
4 2 4
direct
0.629 0.129 0.000
0.871 0.629 0.000
0.371 0.871 0.000
0.129 0.371 0.000
0.000 0.000 0.000
0.500 0.500 0.000
0.170 0.670 0.500
0.670 0.830 0.500
0.830 0.330 0.500
0.330 0.170 0.500
```


4.
The following is a PBE calculation of crystalline Sc2SnHg at its relaxed geometry, from Alexandria.

The energy of formation from the pure elements is -0.47 eV per atom. The total magnetization is 0.000 μB per atom. Its symmetry is P4/mmm.

Geometry as POSCAR:
```
Sc2SnHg
1.0
3.610 0.000 0.000
0.000 3.610 0.000
0.000 0.000 6.876
Hg Sn Sc
1 1 2
direct
0.500 0.500 0.000
0.500 0.500 0.500
0.000 0.000 0.248
0.000 0.000 0.752
```


5.
The following is a PBE calculation of crystalline SrSc2SnHg at its relaxed geometry, from Alexandria.

The energy of formation from the pure elements is 0.13 eV per atom. The total magnetization is 0.000 μB per atom. Its symmetry is P4/mmm.

Geometry as POSCAR:
```
SrSc2SnHg
1.0
-0.914 -5.278 0.040
4.078 -0.737 -4.091
3.713 -0.614 3.812
Sn Sc Sr Hg
1 2 1 1
direct
0.500 0.500 0.500
0.500 0.000 0.000
0.000 0.000 0.500
0.000 0.500 0.000
0.000 0.000 0.000
```


6.
The following is a PBE calculation of crystalline SrScSnHg at its relaxed geometry, from Alexandria.

The energy of formation from the pure elements is -0.43 eV per atom. The total magnetization is 0.000 μB per atom. Its symmetry is F-43m.

Geometry as POSCAR:
```
SrScSnHg
1.0
5.353 0.000 0.000
2.677 4.636 0.000
2.677 1.545 4.371
Sr Sc Hg Sn
1 1 1 1
direct
0.000 0.000 0.000
0.500 0.500 0.500
0.250 0.250 0.250
0.750 0.750 0.750
```